Below is an optimized crystal structure of TbHo3, with properties calculated at the GGA-PBEsol level.

Cell lengths 4.881, 4.881, 4.881 Å; angles 90.00, 90.00, 90.00 degrees
Fractional positions:
Tb  0.000  0.000  0.000
Ho  0.500  0.000  0.500
Ho  0.000  0.500  0.500
Ho  0.500  0.500  0.000

Computed properties:
For the volume, the calculation gives 116.3 Å³/cell. The energy relative to the elements is 15 meV per atom. As for the space group: Pm-3m.